Record 1
This record from Alexandria describes a geometry-optimized LaMgGa2 structure. The functional is PBE-GGA.

Structure (POSCAR):
```
LaMgGa2
1.0
3.535 0.000 0.000
0.000 3.535 0.000
0.000 0.000 7.243
La Mg Ga
1 1 2
Cartesian
0.000 0.000 0.000
0.000 0.000 3.621
1.767 1.767 2.130
1.767 1.767 5.113
```

Record 2
This record from Alexandria describes a geometry-optimized La2MgGa6 structure. The functional is PBE-GGA.

Structure (POSCAR):
```
La2MgGa6
1.0
6.155 0.000 0.000
-3.078 5.331 0.000
0.000 0.000 5.894
La Mg Ga
2 1 6
Cartesian
0.000 3.554 0.904
3.078 1.777 4.991
0.000 0.000 0.000
0.000 1.941 3.878
-1.397 4.360 3.878
1.681 0.971 2.016
1.397 4.360 3.878
4.474 0.971 2.016
3.078 3.390 2.016
```

Record 3
This record from Alexandria describes a geometry-optimized LaMgGa2 structure. The functional is PBE-GGA.

Structure (POSCAR):
```
LaMgGa2
1.0
2.274 1.313 5.360
-2.274 1.313 5.360
0.000 -2.626 5.360
La Mg Ga
1 1 2
Cartesian
0.000 0.000 0.000
0.000 0.000 8.039
0.000 0.000 3.525
0.000 0.000 12.554
```

Record 4
This record from Alexandria describes a geometry-optimized La2Mg6Ga3 structure. The functional is PBE-GGA.

Structure (POSCAR):
```
La2Mg6Ga3
1.0
8.313 0.000 0.000
-4.157 7.200 0.000
0.000 0.000 4.500
La Mg Ga
2 6 3
Cartesian
0.000 4.800 0.000
4.157 2.400 0.000
-0.867 1.501 0.000
-2.966 5.137 2.250
1.734 0.000 0.000
1.191 2.062 2.250
5.932 0.000 2.250
3.290 5.698 0.000
-1.613 2.795 2.250
3.227 0.000 2.250
2.543 4.405 2.250
```

Record 5
This record from Alexandria describes a geometry-optimized LaMg5Ga2 structure. The functional is PBE-GGA.

Structure (POSCAR):
```
LaMg5Ga2
1.0
-2.183 4.112 5.189
2.183 -4.112 5.189
2.183 4.112 -5.189
La Mg Ga
1 5 2
Cartesian
0.000 0.000 0.000
2.183 2.609 -1.602
2.183 2.609 1.602
0.000 4.112 0.000
0.000 1.503 3.588
0.000 1.503 6.791
2.183 0.000 2.394
0.000 4.112 2.796
```

Record 6
This record from Alexandria describes a geometry-optimized La3Mg2Ga structure. The functional is PBE-GGA.

Structure (POSCAR):
```
La3Mg2Ga
1.0
2.756 -8.324 0.000
2.756 8.324 0.000
0.000 0.000 3.856
La Mg Ga
3 2 1
Cartesian
0.000 0.000 0.000
2.756 2.579 0.000
2.756 -2.579 0.000
2.756 5.387 1.928
2.756 -5.387 1.928
2.756 0.000 1.928
```

Record 7
This record from Alexandria describes a geometry-optimized La2MgGa structure. The functional is PBE-GGA.

Structure (POSCAR):
```
La2MgGa
1.0
3.824 0.000 0.000
0.000 3.824 0.000
0.000 0.000 7.897
La Mg Ga
2 1 1
Cartesian
0.000 0.000 1.810
0.000 0.000 6.087
1.912 1.912 3.949
1.912 1.912 0.000
```

Record 8
This record from Alexandria describes a geometry-optimized La4MgGa structure. The functional is PBE-GGA.

Structure (POSCAR):
```
La4MgGa
1.0
3.736 0.000 0.000
0.000 5.563 0.000
-1.680 0.000 8.798
La Mg Ga
4 1 1
Cartesian
0.000 0.000 0.000
-0.201 2.782 3.326
1.986 0.000 2.830
1.885 2.782 6.786
0.095 0.000 5.716
1.732 2.782 0.671
```

Record 9
This record from Alexandria describes a geometry-optimized La3Mg3Ga8 structure. The functional is PBE-GGA.

Structure (POSCAR):
```
La3Mg3Ga8
1.0
-2.219 4.916 6.971
2.219 -4.916 6.971
2.219 4.916 -6.971
La Mg Ga
3 3 8
Cartesian
0.000 0.000 0.000
0.000 0.000 4.177
0.000 0.000 9.766
2.219 2.844 0.000
0.000 4.916 0.000
0.000 2.072 6.971
2.219 -1.307 2.275
2.219 -2.188 4.969
2.219 1.307 2.275
0.000 2.728 2.002
2.219 2.188 4.969
0.000 3.609 4.696
0.000 7.104 2.002
0.000 6.223 4.696
```

Record 10
This record from Alexandria describes a geometry-optimized LaMgGa3 structure. The functional is PBE-GGA.

Structure (POSCAR):
```
LaMgGa3
1.0
5.684 0.000 0.000
0.000 5.684 0.000
0.000 0.000 5.684
La Mg Ga
1 1 3
Cartesian
0.000 0.000 0.000
2.842 2.842 2.842
0.000 0.000 2.842
0.000 2.842 0.000
2.842 0.000 0.000
```

Record 11
This record from Alexandria describes a geometry-optimized LaMg5Ga3 structure. The functional is PBE-GGA.

Structure (POSCAR):
```
LaMg5Ga3
1.0
2.176 -7.169 0.000
2.176 7.169 0.000
0.000 0.000 13.222
La Mg Ga
2 10 6
Cartesian
2.176 4.854 9.917
2.176 -4.854 3.306
0.000 0.000 0.000
0.000 0.000 6.611
2.176 4.340 0.691
2.176 4.340 5.920
2.176 0.969 8.488
2.176 0.969 11.345
2.176 -0.969 1.877
2.176 -0.969 4.734
2.176 -4.340 7.302
2.176 -4.340 12.531
2.176 5.154 3.306
2.176 1.637 0.937
2.176 1.637 5.674
2.176 -1.637 7.548
2.176 -1.637 12.285
2.176 -5.154 9.917
```

Record 12
This record from Alexandria describes a geometry-optimized La5MgGa4 structure. The functional is PBE-GGA.

Structure (POSCAR):
```
La5MgGa4
1.0
3.769 0.000 0.000
0.000 3.769 0.000
0.000 0.000 19.463
La Mg Ga
5 1 4
Cartesian
0.000 0.000 0.000
0.000 0.000 3.780
0.000 0.000 7.524
0.000 0.000 11.939
0.000 0.000 15.683
1.885 1.885 9.732
1.885 1.885 1.892
1.885 1.885 5.736
1.885 1.885 13.727
1.885 1.885 17.571
```

N(E_F) (states/eV/atom)
0.89; 0.27; 0.52; 0.64; 0.28; 1.11; 0.98; 1.27; 0.53; 0.76; 0.47; 0.81
Energy of formation from the pure elements (eV per formula unit)
-1.539; -4.889; -1.819; -3.057; -2.104; -1.626; -1.375; -1.028; -7.120; 3.624; -1.917; -4.770
Calculated total energy (eV per cell)
-14.114; -34.500; -14.395; -31.560; -21.058; -22.625; -15.851; -25.359; -50.901; -11.979; -47.796; -43.109